[1]
# CdH4NCl3 PBE relaxed
# total magnetization: 0.00 μB per atom
# SG: Pnma
data_CdH4NCl3
_chemical_formula_sum 'Cd4 H16 N4 Cl12'
_symmetry_space_group_name_H-M 'P 1'
_symmetry_Int_Tables_number 1
_cell_length_a 9.315
_cell_length_b 4.086
_cell_length_c 15.023
_cell_angle_alpha 90.00
_cell_angle_beta 90.00
_cell_angle_gamma 90.00
loop_
_symmetry_equiv_pos_as_xyz
'x,y,z'
loop_
_atom_site_label
_atom_site_type_symbol
_atom_site_fract_x
_atom_site_fract_y
_atom_site_fract_z
Cd1 Cd 0.163 0.250 0.058
Cd2 Cd 0.337 0.750 0.558
Cd3 Cd 0.663 0.250 0.442
Cd4 Cd 0.837 0.750 0.942
H1 H 0.020 0.750 0.385
H2 H 0.049 0.250 0.718
H3 H 0.107 0.548 0.300
H4 H 0.107 0.952 0.300
H5 H 0.393 0.048 0.800
H6 H 0.393 0.452 0.800
H7 H 0.451 0.750 0.218
H8 H 0.480 0.250 0.885
H9 H 0.520 0.750 0.115
H10 H 0.549 0.250 0.782
H11 H 0.607 0.548 0.200
H12 H 0.607 0.952 0.200
H13 H 0.893 0.048 0.700
H14 H 0.893 0.452 0.700
H15 H 0.951 0.750 0.282
H16 H 0.980 0.250 0.615
N1 N 0.046 0.750 0.318
N2 N 0.454 0.250 0.818
N3 N 0.546 0.750 0.182
N4 N 0.954 0.250 0.682
Cl1 Cl 0.026 0.250 0.902
Cl2 Cl 0.170 0.250 0.505
Cl3 Cl 0.242 0.750 0.719
Cl4 Cl 0.258 0.250 0.219
Cl5 Cl 0.330 0.750 0.005
Cl6 Cl 0.474 0.750 0.402
Cl7 Cl 0.526 0.250 0.598
Cl8 Cl 0.670 0.250 0.995
Cl9 Cl 0.742 0.750 0.781
Cl10 Cl 0.758 0.250 0.281
Cl11 Cl 0.830 0.750 0.495
Cl12 Cl 0.974 0.750 0.098

***

[2]
# Cd3H4N2Cl3 PBE relaxed
# total magnetization: 0.00 μB per atom
# SG: Imm2
data_Cd3H4N2Cl3
_chemical_formula_sum 'Cd3 H4 N2 Cl3'
_symmetry_space_group_name_H-M 'P 1'
_symmetry_Int_Tables_number 1
_cell_length_a 10.174
_cell_length_b 10.174
_cell_length_c 10.174
_cell_angle_alpha 152.27
_cell_angle_beta 37.91
_cell_angle_gamma 154.67
loop_
_symmetry_equiv_pos_as_xyz
'x,y,z'
loop_
_atom_site_label
_atom_site_type_symbol
_atom_site_fract_x
_atom_site_fract_y
_atom_site_fract_z
Cd1 Cd 0.000 0.000 0.000
Cd2 Cd 0.066 0.690 0.376
Cd3 Cd 0.315 0.690 0.624
H1 H 0.203 0.050 0.153
H2 H 0.278 0.400 0.878
H3 H 0.522 0.400 0.122
H4 H 0.897 0.050 0.847
N1 N 0.069 0.178 0.892
N2 N 0.286 0.178 0.108
Cl1 Cl 0.490 0.187 0.303
Cl2 Cl 0.664 0.164 0.500
Cl3 Cl 0.885 0.187 0.697

***

[3]
# CdH6N2Cl PBE relaxed
# total magnetization: 0.00 μB per atom
# SG: Cmcm
data_CdH6N2Cl
_chemical_formula_sum 'Cd2 H12 N4 Cl2'
_symmetry_space_group_name_H-M 'P 1'
_symmetry_Int_Tables_number 1
_cell_length_a 6.611
_cell_length_b 6.611
_cell_length_c 5.652
_cell_angle_alpha 90.00
_cell_angle_beta 90.00
_cell_angle_gamma 83.79
loop_
_symmetry_equiv_pos_as_xyz
'x,y,z'
loop_
_atom_site_label
_atom_site_type_symbol
_atom_site_fract_x
_atom_site_fract_y
_atom_site_fract_z
Cd1 Cd 0.090 0.910 0.750
Cd2 Cd 0.910 0.090 0.250
H1 H 0.008 0.526 0.250
H2 H 0.206 0.512 0.603
H3 H 0.206 0.512 0.897
H4 H 0.474 0.992 0.250
H5 H 0.488 0.794 0.603
H6 H 0.488 0.794 0.897
H7 H 0.512 0.206 0.103
H8 H 0.512 0.206 0.397
H9 H 0.526 0.008 0.750
H10 H 0.794 0.488 0.103
H11 H 0.794 0.488 0.397
H12 H 0.992 0.474 0.750
N1 N 0.119 0.551 0.750
N2 N 0.449 0.881 0.750
N3 N 0.551 0.119 0.250
N4 N 0.881 0.449 0.250
Cl1 Cl 0.337 0.663 0.250
Cl2 Cl 0.663 0.337 0.750

***

[4]
# CdH6N2Cl2 PBE relaxed
# total magnetization: 0.00 μB per atom
# SG: C2
data_CdH6N2Cl2
_chemical_formula_sum 'Cd1 H6 N2 Cl2'
_symmetry_space_group_name_H-M 'P 1'
_symmetry_Int_Tables_number 1
_cell_length_a 5.945
_cell_length_b 5.945
_cell_length_c 4.058
_cell_angle_alpha 93.12
_cell_angle_beta 93.12
_cell_angle_gamma 88.95
loop_
_symmetry_equiv_pos_as_xyz
'x,y,z'
loop_
_atom_site_label
_atom_site_type_symbol
_atom_site_fract_x
_atom_site_fract_y
_atom_site_fract_z
Cd1 Cd 0.000 0.000 0.000
H1 H 0.217 0.416 0.166
H2 H 0.316 0.314 0.816
H3 H 0.415 0.218 0.169
H4 H 0.584 0.783 0.834
H5 H 0.686 0.684 0.184
H6 H 0.782 0.585 0.831
N1 N 0.271 0.270 0.043
N2 N 0.730 0.729 0.957
Cl1 Cl 0.226 0.774 0.500
Cl2 Cl 0.774 0.226 0.500

***

We obtain electronic total energy values of -3.922, -3.607, -4.371, -4.397 eV per atom for the records listed above, in that order.
We obtain volume values of 572, 209, 246, 143 Å³/cell for the records listed above, in that order.